(1)
The following is a DFT calculation (GGA-PBE) of crystalline BaLu2Hf at its relaxed geometry.

Output
Electronic total energy in Ry per atom: -0.3623
Formation energy in meV per atom: 300

Unit cell a=3.436 b=3.436 c=12.389 alpha=82.03 beta=82.03 gamma=60.00
Element x y z (fractional)
Lu (0.097, 0.097, 0.708)
Lu (0.903, 0.903, 0.292)
Ba (0.000, 0.000, 0.000)
Hf (0.500, 0.500, 0.500)


(2)
The following is a DFT calculation (GGA-PBE) of crystalline Ba2HfMg at its relaxed geometry.

Output
Electronic total energy in Ry per atom: -0.2231
Formation energy in meV per atom: 814

Unit cell a=9.320 b=9.320 c=7.421 alpha=51.10 beta=51.10 gamma=90.00
Last column: magnetic moment on the atom in μB.
Element x y z (fractional)
Ba (0.375, 0.372, 0.750)  0.04
Ba (0.628, 0.125, 0.250)  0.04
Ba (0.875, 0.878, 0.750)  0.03
Ba (0.122, 0.625, 0.250)  0.04
Hf (0.750, 0.250, 0.500)  0.46
Hf (0.000, 0.000, 0.000)  0.46
Mg (0.500, 0.500, 0.000)  0.01
Mg (0.250, 0.750, 0.500)  0.01


(3)
The following is a DFT calculation (GGA-PBE) of crystalline Ba3HfMg at its relaxed geometry.

Output
Electronic total energy in Ry per atom: -0.1991
Formation energy in meV per atom: 754

Unit cell a=6.346 b=6.346 c=6.346 alpha=90.00 beta=90.00 gamma=90.00
Last column: magnetic moment on the atom in μB.
Element x y z (fractional)
Hf (0.000, 0.000, 0.000)  0.37
Mg (0.500, 0.500, 0.500)  0.00
Ba (0.500, 0.000, 0.000)  0.02
Ba (0.000, 0.500, 0.000)  0.05
Ba (0.000, 0.000, 0.500)  0.05


Record-wise magnetic moment values, in μB per cell: 0.00, 1.97, 0.63